(1)
Compound: Ba2Mg3CdF12
Source: Alexandria via LeMat-Bulk
Functional: PBE
Structure: optimized geometry

The structure in extended XYZ format:
```
18
Lattice="-2.305 1.532 6.525 1.424 -4.564 5.231 4.765 1.875 4.900" Properties=species:S:1:pos:R:3 pbc="T T T"
Cd 0.000 0.000 0.000
F 4.426 -1.706 11.452
F 2.716 1.090 12.045
F 1.934 1.886 8.812
Ba 2.380 -0.709 10.205
Ba 1.505 -0.448 6.451
F -0.053 -1.944 9.010
F 4.152 -1.739 8.043
F 2.701 0.706 4.458
F 1.169 -2.247 4.610
Mg 0.712 -2.282 2.616
F -0.267 0.582 8.612
F 1.951 -3.043 7.843
F 1.183 -1.864 12.197
F -0.541 0.549 5.204
Mg -1.152 0.766 3.262
Mg 2.383 0.938 2.450
F 3.937 0.786 7.646
```

Results
space-group type: No. 166
D(E_F): 0.0000 states/eV/atom
E: -5.129 eV/atom
M_tot: 0.00 μB per cell

=====

(2)
Compound: ZnCd2Rh
Source: Alexandria via LeMat-Bulk
Functional: PBE
Structure: optimized geometry

The structure in extended XYZ format:
```
4
Lattice="-0.394 2.600 3.134 2.877 -2.051 2.063 2.882 2.402 -1.630" Properties=species:S:1:pos:R:3 pbc="T T T"
Rh 1.244 2.501 0.752
Zn 2.879 0.176 0.216
Cd 0.000 0.000 0.000
Cd 1.241 0.274 2.599
```

Results
space-group type: No. 123
D(E_F): 0.4765 states/eV/atom
energy of formation from the pure elements: -0.12 eV per atom
M_tot: 0.00 μB per cell

=====

(3)
Compound: Mg2Os
Source: Alexandria via LeMat-Bulk
Functional: PBE
Structure: optimized geometry

The structure in extended XYZ format:
```
6
Lattice="-3.347 3.347 2.558 3.347 -3.347 2.558 3.347 3.347 -2.558" Properties=species:S:1:pos:R:3 pbc="T T T"
Mg 1.178 2.169 2.558
Mg 2.169 1.178 0.000
Os 0.000 0.000 3.837
Os 0.000 0.000 1.279
Mg 1.178 4.524 0.000
Mg 2.169 -1.178 2.558
```

Results
space-group type: No. 140
D(E_F): 0.5944 states/eV/atom
energy of formation from the pure elements: 0.10 eV per atom
M_tot: 0.00 μB per cell

=====

(4)
Compound: Sc3TlN
Source: Alexandria via LeMat-Bulk
Functional: PBE
Structure: optimized geometry

The structure in extended XYZ format:
```
20
Lattice="5.395 -0.047 6.527 -2.448 2.982 7.539 -1.223 -5.329 6.467" Properties=species:S:1:pos:R:3 pbc="T T T"
Sc 3.721 -0.471 7.908
Sc -1.243 -1.023 6.514
Sc 2.177 1.409 12.663
N 0.215 -0.299 2.567
Tl 1.689 1.168 9.600
N -0.396 -2.964 5.800
Sc -1.226 1.439 8.546
Sc -0.453 -3.803 7.870
Sc 1.201 0.927 6.536
Sc -1.998 -1.923 12.625
Sc 1.653 -2.142 6.140
Sc 2.950 -3.833 11.987
N 2.913 -0.323 5.830
Sc -0.791 0.945 4.126
Sc -0.339 -2.124 3.730
Tl 2.301 -2.987 9.064
Sc 2.105 -0.174 3.752
Tl -1.620 -1.473 9.569
N -1.009 1.192 6.336
Tl 1.077 -1.496 12.833
```

Results
space-group type: No. 227
D(E_F): 1.0252 states/eV/atom
E: -6.598 eV/atom
M_tot: 1.39 μB per cell